Arrangement P

# TiAgGe2

A relaxed structure of TiAgGe2 (PBE-GGA, Alexandria via LeMat-Bulk).

Cell lengths 7.285, 7.285, 7.285 Å; angles 33.53, 33.53, 33.53 degrees
Fractional coordinates of all 4 atoms:
Ti 0.000 0.000 0.000
Ag 0.500 0.500 0.500
Ge 0.378 0.378 0.378
Ge 0.622 0.622 0.622

Summary:
The calculation puts the total magnetization at 0.000 μB/cell. As for the volume: 26.259 Å³ per atom. The space-group type is R-3m.

Arrangement Q

# TiAgGe2

A relaxed structure of TiAgGe2 (PBE-GGA, Alexandria via LeMat-Bulk).

Cell lengths 4.626, 4.626, 4.626 Å; angles 60.00, 60.00, 60.00 degrees
Fractional coordinates of all 4 atoms:
Ti 0.000 0.000 0.000
Ag 0.500 0.500 0.500
Ge 0.250 0.250 0.250
Ge 0.750 0.750 0.750

Summary:
The calculation puts the total magnetization at 0.931 μB/cell. As for the volume: 17.497 Å³ per atom. The space-group type is Fm-3m.

Arrangement R

# TiAgGe2

A relaxed structure of TiAgGe2 (PBE-GGA, Alexandria via LeMat-Bulk).

Cell lengths 4.238, 4.238, 3.737 Å; angles 90.00, 90.00, 90.00 degrees
Fractional coordinates of all 4 atoms:
Ti 0.000 0.000 0.000
Ag 0.500 0.500 0.000
Ge 0.000 0.500 0.500
Ge 0.500 0.000 0.500

Summary:
The calculation puts the total magnetization at 0.000 μB/cell. As for the volume: 16.782 Å³ per atom. The space-group type is P4/mmm.

Arrangement S

# TiAgGe2

A relaxed structure of TiAgGe2 (PBE-GGA, Alexandria via LeMat-Bulk).

Cell lengths 5.811, 5.811, 5.811 Å; angles 104.97, 104.97, 118.91 degrees
Fractional coordinates of all 8 atoms:
Ti 0.000 0.000 0.000
Ti 0.750 0.250 0.500
Ag 0.250 0.750 0.500
Ag 0.500 0.500 0.000
Ge 0.131 0.625 0.006
Ge 0.375 0.381 0.506
Ge 0.619 0.125 0.994
Ge 0.875 0.869 0.494

Summary:
The calculation puts the total magnetization at 0.000 μB/cell. As for the volume: 18.493 Å³ per atom. The space-group type is I-42d.

Of the structures shown above, arrangement P is the least stable.